Entry 1:
HRu3W | the Alexandria database | GGA-PBE | optimized geometry; uncorrected energy = -8.798 eV/atom; M_tot = 0.00 μB/cell
1.0
4.378 0.000 0.903
0.000 5.612 0.000
-1.001 0.000 4.737
Ru H W
6 2 2
direct
0.725 0.750 0.668
0.275 0.250 0.332
0.747 0.511 0.162
0.747 0.989 0.162
0.253 0.489 0.838
0.253 0.011 0.838
0.888 0.250 0.325
0.112 0.750 0.675
0.739 0.250 0.688
0.261 0.750 0.312

---

Entry 2:
HRu3W | the Alexandria database | GGA-PBE | optimized geometry; uncorrected energy = -8.859 eV/atom; M_tot = 0.00 μB/cell
1.0
-0.062 3.445 3.405
-4.415 -2.438 2.387
0.494 -3.652 3.705
H Ru W
2 6 2
direct
0.854 0.878 0.531
0.854 0.143 0.002
0.678 0.011 0.766
0.189 0.757 0.773
0.028 0.756 0.266
0.189 0.264 0.760
0.678 0.511 0.766
0.028 0.265 0.266
0.499 0.011 0.266
0.511 0.511 0.266

---

Entry 3:
HRu3W | the Alexandria database | GGA-PBE | optimized geometry; uncorrected energy = -8.248 eV/atom; M_tot = 0.00 μB/cell
1.0
4.093 0.000 1.560
-2.046 3.545 1.560
-2.046 -3.545 1.560
Ru W H
3 1 1
direct
0.903 0.288 0.903
0.288 0.903 0.903
0.903 0.903 0.288
0.579 0.579 0.579
0.202 0.202 0.202

---

Entry 4:
HRu3W | the Alexandria database | GGA-PBE | optimized geometry; uncorrected energy = -8.859 eV/atom; M_tot = 0.00 μB/cell
1.0
5.254 0.010 0.000
2.270 4.739 0.000
0.025 0.016 4.802
H Ru W
2 6 2
direct
0.764 0.728 0.001
0.279 0.213 0.001
0.148 0.094 0.333
0.398 0.344 0.668
0.390 0.838 0.826
0.645 0.596 0.333
0.896 0.847 0.668
0.654 0.102 0.175
0.883 0.332 0.821
0.160 0.609 0.180

---

Entry 5:
HRu3W | the Alexandria database | GGA-PBE | optimized geometry; uncorrected energy = -8.676 eV/atom; M_tot = 0.00 μB/cell
1.0
1.237 3.509 3.297
-1.484 -3.237 3.469
4.601 -1.863 -0.276
W Ru H
2 6 2
direct
0.000 0.000 0.000
0.500 0.500 0.500
0.038 0.462 0.750
0.750 0.038 0.462
0.462 0.750 0.038
0.250 0.962 0.538
0.538 0.250 0.962
0.962 0.538 0.250
0.750 0.750 0.750
0.250 0.250 0.250

---

Entry 6:
H3RuW | the Alexandria database | GGA-PBE | optimized geometry; uncorrected energy = -5.948 eV/atom; M_tot = 0.00 μB/cell
1.0
-1.734 2.860 -0.631
-0.857 0.205 3.287
2.800 1.834 0.616
H Ru W
3 1 1
direct
0.000 0.500 0.000
0.000 0.000 0.500
0.500 0.000 0.000
0.000 0.000 0.000
0.500 0.500 0.500

---

- What is the formula in the fourth record?
  HRu3W